GGA-PBE CsK2RbNa, relaxed; VASP energy = -10.12 eV/cell; magnetization = 0.0000 μB per atom; mass density = 1.397 g/cm³; SG = Imm2; E above lowest polymorph = 0.000 eV per atom; DOS at the Fermi energy = 3.870 states/eV/f.u.
1.0
4.577 0.000 0.000
0.000 7.761 0.000
0.000 0.000 21.386
Cs K Rb Na
2 4 2 2
Cartesian
0.000 0.000 0.000
2.288 3.880 10.693
0.000 0.000 8.961
0.000 0.000 16.701
2.288 3.880 6.008
2.288 3.880 19.654
0.000 0.000 4.526
2.288 3.880 15.219
0.000 3.880 2.216
2.288 0.000 12.909